# AcScGa PBE relaxed
# ρ	6.7	Mg/m³
# V	84.9	Å³/f.u.
# polymorph energy (0 for the lowest one)	71	meV per atom
# DFT total energy	-4.836	eV/atom
data_AcScGa
_space_group_name_H-M_alt 'P -6 2 m'
_space_group_IT_number 189
_space_group_name_Hall 'P -6 -2'
_cell_length_a 7.9836
_cell_length_b 7.9836
_cell_length_c 4.6162
_cell_angle_alpha 90.00
_cell_angle_beta 90.00
_cell_angle_gamma 120.00
loop_
_atom_site_label
_atom_site_fract_x
_atom_site_fract_y
_atom_site_fract_z
_atom_site_occupancy
Ac1 0.0000 0.4080 0.0000 1
Sc1 0.0000 0.7567 0.5000 1
Ga1 0.0000 0.0000 0.0000 1
Ga2 0.3333 0.6667 0.5000 1